A plane-wave DFT calculation with PBE was carried out for a geometry-optimized Hf3MnI structure.

The volume comes out at 27.62 A^3/atom. The energy relative to the elements, uncorrected is 1.427 eV per atom.

abc: 5.169 5.169 5.169
angles: 90.00 90.00 90.00
Each line ends with the local moment (μB).
Atoms (fractional coordinates):
I 0.000 0.000 0.000  0.01
Mn 0.500 0.500 0.500  4.19
Hf 0.000 0.500 0.000  -0.09
Hf 0.000 0.000 0.500  -0.05
Hf 0.500 0.000 0.000  -0.18